[1]
The following is a PBE calculation of an optimized crystal structure of ScNi2Ru, from Alexandria via LeMat-Bulk.

Results
**Space group**: No. 47

Unit cell a=3.734 b=2.750 c=6.037 alpha=62.85 beta=90.00 gamma=90.00
Atoms (fractional coordinates):
Ni 0.000 0.977 0.022
Ni 0.000 0.523 0.478
Ru 0.500 0.250 0.250
Sc 0.500 0.750 0.750

***

[2]
The following is a PBE calculation of an optimized crystal structure of CaYZr2, from Alexandria via LeMat-Bulk.

Results
**Space group**: No. 44
**ΔE to the lowest computed polymorph**: 144 meV per atom

Unit cell a=6.657 b=6.657 c=6.657 alpha=150.81 beta=126.99 gamma=61.66
Site moments in Bohr magnetons follow the coordinates.
Atoms (fractional coordinates):
Y 0.232 0.732 0.500  0.01
Ca 0.512 0.512 0.000  0.01
Zr 0.983 0.983 0.000  0.11
Zr 0.774 0.274 0.500  -0.02

***

For reference, D(E_F) by record: 5.1, 6.6 states/eV/cell.
For reference, total magnetic moment by record: 0.0, 0.2 μB/f.u..
For reference, E_form by record: -154.9, 308.4 meV/atom.